Here is crystalline Sm2PuSi at its relaxed geometry from Alexandria. Energies are from GGA-PBE.

abc: 4.740 4.740 4.487
angles: 90.00 90.00 90.00
Atoms (fractional coordinates):
Sm1 0.000 0.500 0.000
Sm2 0.500 0.000 0.000
Pu1 0.000 0.000 0.500
Si1 0.500 0.500 0.500

ΔE to the lowest computed polymorph   0 meV/atom